--- one ---
# TbHo2Ni2 PBE optimized geometry
# Space group: Cmcm, No. 63
# DOS at the Fermi energy (states/eV/f.u.): 4.5
data_TbHo2Ni2
_chemical_formula_sum 'Tb2 Ho4 Ni4'
_space_group_name_H-M_alt 'P 1'
_space_group_IT_number 1
_cell_length_a 3.636
_cell_length_b 4.210
_cell_length_c 15.143
_cell_angle_alpha 90.00
_cell_angle_beta 96.89
_cell_angle_gamma 90.00
loop_
_space_group_symop_operation_xyz
'x,y,z'
loop_
_atom_site_label
_atom_site_type_symbol
_atom_site_fract_x
_atom_site_fract_y
_atom_site_fract_z
Ni1 Ni 0.144 0.250 0.287
Ni2 Ni 0.525 0.750 0.051
Ni3 Ni 0.475 0.250 0.949
Ni4 Ni 0.856 0.750 0.713
Ho1 Ho 0.047 0.250 0.094
Ho2 Ho 0.286 0.750 0.572
Ho3 Ho 0.953 0.750 0.906
Ho4 Ho 0.714 0.250 0.428
Tb1 Tb 0.378 0.250 0.755
Tb2 Tb 0.622 0.750 0.245

--- two ---
# TbHo2Ni2 PBE optimized geometry
# Space group: C2/m, No. 12
# DOS at the Fermi energy (states/eV/f.u.): 6.1
data_TbHo2Ni2
_chemical_formula_sum 'Tb1 Ho2 Ni2'
_space_group_name_H-M_alt 'P 1'
_space_group_IT_number 1
_cell_length_a 3.760
_cell_length_b 5.496
_cell_length_c 6.004
_cell_angle_alpha 103.57
_cell_angle_beta 108.25
_cell_angle_gamma 90.00
loop_
_space_group_symop_operation_xyz
'x,y,z'
loop_
_atom_site_label
_atom_site_type_symbol
_atom_site_fract_x
_atom_site_fract_y
_atom_site_fract_z
Tb1 Tb 0.000 0.000 0.000
Ho1 Ho 0.648 0.590 0.297
Ho2 Ho 0.352 0.410 0.703
Ni1 Ni 0.713 0.114 0.427
Ni2 Ni 0.287 0.886 0.573

Order of stability, best first: one, two